VASP calculation (PBE-GGA) on a relaxed structure of PaCuNiIr.

abc: 4.5565 4.5565 4.5565
angles: 60.00 60.00 60.00
Atoms (fractional coordinates):
Ir 0.0000 0.0000 0.0000
Cu 0.2500 0.2500 0.2500
Pa 0.7500 0.7500 0.7500
Ni 0.5000 0.5000 0.5000

Calculated values
As for the symmetry: F-43m. The calculation puts the uncorrected energy at -29.4 eV for the cell shown. As for the formation energy: -0.28 eV per atom. The calculation puts the total magnetization at 0.000 μB per atom.

VASP calculation (PBE-GGA) on a relaxed structure of Pr2Cu12Ni3Ir.

abc: 10.1359 10.1359 10.1359
angles: 33.53 33.53 33.53
Atoms (fractional coordinates):
Ni 0.0000 0.0000 0.5000
Pr 0.3551 0.3551 0.3551
Pr 0.6449 0.6449 0.6449
Cu 0.5866 0.1860 0.5866
Ir 0.0000 0.0000 0.0000
Cu 0.9261 0.9261 0.3637
Cu 0.4134 0.4134 0.8140
Cu 0.5866 0.5866 0.1860
Cu 0.8140 0.4134 0.4134
Cu 0.3637 0.9261 0.9261
Cu 0.4134 0.8140 0.4134
Cu 0.6363 0.0739 0.0739
Cu 0.0739 0.0739 0.6363
Cu 0.9261 0.3637 0.9261
Cu 0.0739 0.6363 0.0739
Ni 0.0000 0.5000 0.0000
Cu 0.1860 0.5866 0.5866
Ni 0.5000 0.0000 0.0000

Calculated values
As for the symmetry: R-3m. The calculation puts the uncorrected energy at -80.7 eV for the cell shown. As for the formation energy: 0.23 eV per atom. The calculation puts the total magnetization at 0.000 μB per atom.

VASP calculation (PBE-GGA) on a relaxed structure of Pr2Cu3Ni12Ir.

abc: 9.6043 9.6043 9.6043
angles: 35.61 35.61 35.61
Atoms (fractional coordinates):
Ni 0.4181 0.8122 0.4181
Ni 0.5819 0.1878 0.5819
Ni 0.5819 0.5819 0.1878
Ni 0.0682 0.6445 0.0682
Ni 0.9318 0.3555 0.9318
Ni 0.0682 0.0682 0.6445
Ni 0.9318 0.9318 0.3555
Cu 0.5000 0.0000 0.0000
Pr 0.6488 0.6488 0.6488
Ni 0.6445 0.0682 0.0682
Cu 0.0000 0.5000 0.0000
Ni 0.1878 0.5819 0.5819
Cu 0.0000 0.0000 0.5000
Ni 0.3555 0.9318 0.9318
Ir 0.0000 0.0000 0.0000
Pr 0.3512 0.3512 0.3512
Ni 0.8122 0.4181 0.4181
Ni 0.4181 0.4181 0.8122

Calculated values
As for the symmetry: R-3m. The calculation puts the uncorrected energy at -96.0 eV for the cell shown. As for the formation energy: 0.23 eV per atom. The calculation puts the total magnetization at 0.002 μB per atom.

VASP calculation (PBE-GGA) on a relaxed structure of Cu2ReNiIr.

abc: 4.2182 4.3757 4.2182
angles: 90.00 90.00 90.00
Atoms (fractional coordinates):
Cu 0.5000 0.0000 0.0000
Ir 0.5000 0.5000 0.5000
Re 0.0000 0.5000 0.0000
Cu 0.0000 0.0000 0.5000
Ni 0.0000 0.0000 0.0000

Calculated values
As for the symmetry: P4/mmm. The calculation puts the uncorrected energy at -28.4 eV for the cell shown. As for the formation energy: 1.38 eV per atom. The calculation puts the total magnetization at 0.176 μB per atom.

VASP calculation (PBE-GGA) on a relaxed structure of CuNiIrRh.

abc: 4.1842 4.1842 4.1842
angles: 60.00 60.00 60.00
Atoms (fractional coordinates):
Ni 0.7500 0.7500 0.7500
Ir 0.5000 0.5000 0.5000
Rh 0.0000 0.0000 0.0000
Cu 0.2500 0.2500 0.2500

Calculated values
As for the symmetry: F-43m. The calculation puts the uncorrected energy at -25.4 eV for the cell shown. As for the formation energy: 0.17 eV per atom. The calculation puts the total magnetization at 0.000 μB per atom.

VASP calculation (PBE-GGA) on a relaxed structure of ScCuNiIr.

abc: 4.3350 4.3350 4.3350
angles: 60.00 60.00 60.00
Atoms (fractional coordinates):
Cu 0.2500 0.2500 0.2500
Ni 0.5000 0.5000 0.5000
Ir 0.0000 0.0000 0.0000
Sc 0.7500 0.7500 0.7500

Calculated values
As for the symmetry: F-43m. The calculation puts the uncorrected energy at -26.3 eV for the cell shown. As for the formation energy: -0.32 eV per atom. The calculation puts the total magnetization at 0.000 μB per atom.

VASP calculation (PBE-GGA) on a relaxed structure of Sc4Cu2NiIr.

abc: 4.5655 4.5655 7.9162
angles: 73.24 73.24 60.00
Atoms (fractional coordinates):
Cu 0.2511 0.2511 0.2468
Cu 0.7489 0.7489 0.7532
Sc 0.6244 0.6244 0.1269
Sc 0.8744 0.8744 0.3768
Ni 0.5000 0.5000 0.5000
Ir 0.0000 0.0000 0.0000
Sc 0.1256 0.1256 0.6232
Sc 0.3756 0.3756 0.8731

Calculated values
As for the symmetry: R-3m. The calculation puts the uncorrected energy at -52.5 eV for the cell shown. As for the formation energy: -0.54 eV per atom. The calculation puts the total magnetization at 0.000 μB per atom.

VASP calculation (PBE-GGA) on a relaxed structure of Sm2Cu12Ni3Ir.

abc: 10.6120 10.6120 10.6120
angles: 30.50 30.50 30.50
Atoms (fractional coordinates):
Cu 0.5901 0.5901 0.1713
Ni 0.5000 0.0000 0.0000
Cu 0.4099 0.8287 0.4099
Cu 0.5901 0.1713 0.5901
Sm 0.6436 0.6436 0.6436
Cu 0.8287 0.4099 0.4099
Cu 0.6190 0.0919 0.0919
Cu 0.0919 0.6190 0.0919
Cu 0.9081 0.9081 0.3810
Cu 0.9081 0.3810 0.9081
Ir 0.0000 0.0000 0.0000
Cu 0.0919 0.0919 0.6190
Ni 0.0000 0.0000 0.5000
Cu 0.4099 0.4099 0.8287
Sm 0.3564 0.3564 0.3564
Ni 0.0000 0.5000 0.0000
Cu 0.1713 0.5901 0.5901
Cu 0.3810 0.9081 0.9081

Calculated values
As for the symmetry: R-3m. The calculation puts the uncorrected energy at -80.8 eV for the cell shown. As for the formation energy: 0.22 eV per atom. The calculation puts the total magnetization at 0.000 μB per atom.

VASP calculation (PBE-GGA) on a relaxed structure of CuNiSnIr.

abc: 4.3538 4.3538 4.3538
angles: 60.00 60.00 60.00
Atoms (fractional coordinates):
Ir 0.5000 0.5000 0.5000
Ni 0.0000 0.0000 0.0000
Sn 0.2500 0.2500 0.2500
Cu 0.7500 0.7500 0.7500

Calculated values
As for the symmetry: F-43m. The calculation puts the uncorrected energy at -23.0 eV for the cell shown. As for the formation energy: -0.06 eV per atom. The calculation puts the total magnetization at 0.000 μB per atom.

VASP calculation (PBE-GGA) on a relaxed structure of Sr2CuNiIr.

abc: 5.7853 4.4958 5.7853
angles: 90.00 90.00 90.00
Atoms (fractional coordinates):
Ir 0.0000 0.0000 0.0000
Sr 0.0000 0.0000 0.5000
Sr 0.5000 0.0000 0.0000
Cu 0.5000 0.5000 0.5000
Ni 0.0000 0.5000 0.0000

Calculated values
As for the symmetry: P4/mmm. The calculation puts the uncorrected energy at -20.4 eV for the cell shown. As for the formation energy: 0.34 eV per atom. The calculation puts the total magnetization at 0.000 μB per atom.

VASP calculation (PBE-GGA) on a relaxed structure of SrCuNiIr.

abc: 4.2340 4.2339 5.7020
angles: 111.82 90.00 120.00
Atoms (fractional coordinates):
Sr 0.6182 0.2364 0.4970
Ni 0.4299 0.8597 0.9315
Ir 0.1089 0.2178 0.9689
Cu 0.8093 0.6186 0.0700

Calculated values
As for the symmetry: R3m. The calculation puts the uncorrected energy at -20.9 eV for the cell shown. As for the formation energy: -0.13 eV per atom. The calculation puts the total magnetization at 0.000 μB per atom.

VASP calculation (PBE-GGA) on a relaxed structure of TiCuNiIr.

abc: 4.2257 4.2257 4.2257
angles: 60.00 60.00 60.00
Atoms (fractional coordinates):
Cu 0.7500 0.7500 0.7500
Ni 0.5000 0.5000 0.5000
Ti 0.2500 0.2500 0.2500
Ir 0.0000 0.0000 0.0000

Calculated values
As for the symmetry: F-43m. The calculation puts the uncorrected energy at -28.2 eV for the cell shown. As for the formation energy: -0.40 eV per atom. The calculation puts the total magnetization at 0.000 μB per atom.

VASP calculation (PBE-GGA) on a relaxed structure of CuNiIrW.

abc: 4.2566 4.2566 4.2566
angles: 60.00 60.00 60.00
Atoms (fractional coordinates):
W 0.7500 0.7500 0.7500
Ir 0.0000 0.0000 0.0000
Cu 0.2500 0.2500 0.2500
Ni 0.5000 0.5000 0.5000

Calculated values
As for the symmetry: F-43m. The calculation puts the uncorrected energy at -31.5 eV for the cell shown. As for the formation energy: 0.05 eV per atom. The calculation puts the total magnetization at 0.000 μB per atom.

VASP calculation (PBE-GGA) on a relaxed structure of CuNi2IrW.

abc: 4.1224 4.5068 4.1224
angles: 90.00 90.00 90.00
Atoms (fractional coordinates):
Ni 0.5000 0.0000 0.0000
Ir 0.0000 0.5000 0.0000
Cu 0.0000 0.0000 0.0000
W 0.5000 0.5000 0.5000
Ni 0.0000 0.0000 0.5000

Calculated values
As for the symmetry: P4/mmm. The calculation puts the uncorrected energy at -30.6 eV for the cell shown. As for the formation energy: 1.38 eV per atom. The calculation puts the total magnetization at 0.316 μB per atom.

VASP calculation (PBE-GGA) on a relaxed structure of ZrCuNiIr.

abc: 4.3950 4.3950 4.3950
angles: 60.00 60.00 60.00
Atoms (fractional coordinates):
Cu 0.2500 0.2500 0.2500
Ni 0.5000 0.5000 0.5000
Zr 0.7500 0.7500 0.7500
Ir 0.0000 0.0000 0.0000

Calculated values
As for the symmetry: F-43m. The calculation puts the uncorrected energy at -28.7 eV for the cell shown. As for the formation energy: -0.35 eV per atom. The calculation puts the total magnetization at 0.000 μB per atom.

VASP calculation (PBE-GGA) on a relaxed structure of NpCuIr2.

abc: 4.5535 4.5535 4.5535
angles: 60.00 60.00 60.00
Atoms (fractional coordinates):
Np 0.0000 0.0000 0.0000
Ir 0.2500 0.2500 0.2500
Ir 0.7500 0.7500 0.7500
Cu 0.5000 0.5000 0.5000

Calculated values
The value obtained for the excess energy over the best structure of this formula in the dataset is 128 meV/atom. As for the symmetry: Fm-3m. The calculation puts the uncorrected energy at -35.2 eV for the cell shown. As for the formation energy: -0.10 eV per atom. The calculation puts the total magnetization at 0.695 μB per atom.

VASP calculation (PBE-GGA) on a relaxed structure of NpCuIr2.

abc: 3.8328 4.1247 4.1247
angles: 90.00 90.00 90.00
Atoms (fractional coordinates):
Np 0.5000 0.5000 0.5000
Cu 0.5000 0.0000 0.0000
Ir 0.0000 0.0000 0.5000
Ir 0.0000 0.5000 0.0000

Calculated values
The value obtained for the excess energy over the best structure of this formula in the dataset is 0 meV/atom. As for the symmetry: P4/mmm. The calculation puts the uncorrected energy at -35.7 eV for the cell shown. As for the formation energy: -0.23 eV per atom. The calculation puts the total magnetization at 0.617 μB per atom.

VASP calculation (PBE-GGA) on a relaxed structure of NpCuIr4.

abc: 5.2320 5.2320 5.2320
angles: 60.00 60.00 60.00
Atoms (fractional coordinates):
Cu 0.0000 0.0000 0.0000
Ir 0.6256 0.6256 0.1232
Ir 0.6256 0.1232 0.6256
Ir 0.1232 0.6256 0.6256
Np 0.2500 0.2500 0.2500
Ir 0.6256 0.6256 0.6256

Calculated values
As for the symmetry: F-43m. The calculation puts the uncorrected energy at -53.1 eV for the cell shown. As for the formation energy: -0.11 eV per atom. The calculation puts the total magnetization at 0.363 μB per atom.

VASP calculation (PBE-GGA) on a relaxed structure of NpCuIr.

abc: 3.0577 4.4596 4.4596
angles: 120.00 90.00 90.00
Atoms (fractional coordinates):
Cu 0.1668 0.6667 0.3333
Np 0.6667 0.3333 0.6667
Ir 0.1666 0.0000 0.0000

Calculated values
The value obtained for the excess energy over the best structure of this formula in the dataset is 0 meV/atom. As for the symmetry: P-6m2. The calculation puts the uncorrected energy at -26.1 eV for the cell shown. As for the formation energy: -0.06 eV per atom. The calculation puts the total magnetization at 1.143 μB per atom.

VASP calculation (PBE-GGA) on a relaxed structure of Np2CuIr.

abc: 3.6938 3.6938 5.6729
angles: 90.00 90.00 90.00
Atoms (fractional coordinates):
Ir 0.5000 0.5000 0.0000
Np 0.0000 0.0000 0.7447
Cu 0.5000 0.5000 0.5000
Np 0.0000 0.0000 0.2553

Calculated values
As for the symmetry: P4/mmm. The calculation puts the uncorrected energy at -38.5 eV for the cell shown. As for the formation energy: 0.07 eV per atom. The calculation puts the total magnetization at 1.971 μB per atom.